This record from the Alexandria database describes crystalline NiBClO2 at its relaxed geometry. The functional is PBE with a Hubbard U.

Unit cell a=5.498 b=4.557 c=5.948 alpha=90.00 beta=90.02 gamma=90.00
Space group P2_1/m (No. 11)
Symmetry-distinct sites (fractional):
Ni1 0.104 0.250 0.150 [2 per cell]
B1 0.364 0.750 0.965 [2 per cell]
Cl1 0.253 0.750 0.641 [2 per cell]
O1 0.154 0.750 0.092 [2 per cell]
O2 0.402 0.250 0.990 [2 per cell]

Properties
Distance to the lowest polymorph of the same formula (eV per atom): 0.000
VASP energy (eV/atom): -5.493